1.
The following is a DFT calculation (PBE) of crystalline Ac2LaRh2Br2 at its relaxed geometry.

E_form (uncorrected), eV/atom: -0.9929

Cell lengths 5.2554, 5.2554, 16.6843 Å; angles 90.00, 90.00, 90.00 degrees
Space group I4/mmm (No. 139)
Unique sites:
Ac 0.0000 0.0000 0.1141 [4 per cell]
La 0.0000 0.0000 0.5000 [2 per cell]
Rh 0.0000 0.5000 0.0000 [4 per cell]
Br 0.0000 0.0000 0.3049 [4 per cell]

2.
The following is a DFT calculation (PBE) of crystalline CsBaTa3 at its relaxed geometry.

Energy of formation, eV/atom: 2.7908

Cell lengths 5.2608, 5.2608, 5.2608 Å; angles 90.00, 90.00, 90.00 degrees
Space group Pm-3m (No. 221)
Unique sites:
Cs 0.0000 0.0000 0.0000 [1 per cell]
Ba 0.5000 0.5000 0.5000 [1 per cell]
Ta 0.0000 0.0000 0.5000 [3 per cell]

3.
The following is a DFT calculation (PBE) of crystalline TmCuPdRh at its relaxed geometry.

Energy of formation, eV/atom: -0.5741
Energy relative to the lowest polymorph listed for this composition, meV per atom: 78

Cell lengths 6.4149, 6.4149, 6.4149 Å; angles 90.00, 90.00, 90.00 degrees
Space group F-43m (No. 216)
Unique sites:
Tm 0.0000 0.0000 0.0000 [4 per cell]
Cu 0.0000 0.0000 0.5000 [4 per cell]
Pd 0.2500 0.2500 0.7500 [4 per cell]
Rh 0.2500 0.2500 0.2500 [4 per cell]

4.
The following is a DFT calculation (PBE) of crystalline WBr3 at its relaxed geometry.

Energy relative to the lowest polymorph listed for this composition, meV per atom: 331
E_form (uncorrected), eV/atom: 0.2357

Cell lengths 3.2704, 3.2704, 32.4186 Å; angles 90.00, 90.00, 120.00 degrees
Space group R-3m (No. 166, hexagonal axes)
Unique sites:
W 0.0000 0.0000 0.0000 [3 per cell]
Br 0.0000 0.0000 0.3900 [6 per cell]
Br 0.0000 0.0000 0.5000 [3 per cell]

5.
The following is a DFT calculation (PBE) of crystalline BaZrAg2 at its relaxed geometry.

Energy of formation, eV/atom: 0.2694
Energy relative to the lowest polymorph listed for this composition, meV per atom: 260

Cell lengths 3.3192, 5.4185, 11.3875 Å; angles 90.00, 90.00, 90.00 degrees
Space group Imm2 (No. 44)
Unique sites:
Ba 0.0000 0.0000 0.0000 [2 per cell]
Zr 0.0000 0.5000 0.7913 [2 per cell]
Ag 0.0000 0.0000 0.5228 [2 per cell]
Ag 0.0000 0.5000 0.2327 [2 per cell]

6.
The following is a DFT calculation (PBE) of crystalline Na2TiH at its relaxed geometry.

Energy relative to the lowest polymorph listed for this composition, meV per atom: 0

Cell lengths 10.1122, 10.1122, 3.6590 Å; angles 90.00, 90.00, 90.00 degrees
Space group I-42d (No. 122)
Unique sites:
Na 0.1128 0.2500 0.1250 [8 per cell]
Ti 0.0000 0.0000 0.5000 [4 per cell]
H 0.0000 0.0000 0.0000 [4 per cell]

7.
The following is a DFT calculation (PBE) of crystalline BeIrRh3 at its relaxed geometry.

Energy of formation, eV/atom: 1.6309
Energy relative to the lowest polymorph listed for this composition, meV per atom: 1260

Cell lengths 4.7036, 4.7036, 4.7036 Å; angles 90.00, 90.00, 90.00 degrees
Space group Pm-3m (No. 221)
Unique sites:
Be 0.0000 0.0000 0.0000 [1 per cell]
Ir 0.5000 0.5000 0.5000 [1 per cell]
Rh 0.0000 0.5000 0.5000 [3 per cell]

8.
The following is a DFT calculation (PBE) of crystalline Zr2Al2Tc at its relaxed geometry.

Energy of formation, eV/atom: 0.3418
Energy relative to the lowest polymorph listed for this composition, meV per atom: 720

Cell lengths 3.8528, 3.8528, 13.0103 Å; angles 90.00, 90.00, 90.00 degrees
Space group I4/mmm (No. 139)
Unique sites:
Zr 0.0000 0.5000 0.2500 [4 per cell]
Al 0.0000 0.0000 0.0900 [4 per cell]
Tc 0.0000 0.0000 0.5000 [2 per cell]

9.
The following is a DFT calculation (PBE) of crystalline FeOs2Pd at its relaxed geometry.

Energy of formation, eV/atom: 1.4652
Energy relative to the lowest polymorph listed for this composition, meV per atom: 949

Cell lengths 5.6912, 5.6912, 9.5608 Å; angles 90.00, 90.00, 90.00 degrees
Space group I-42d (No. 122)
Unique sites:
Fe 0.0000 0.0000 0.0000 [4 per cell]
Os 0.2150 0.2500 0.1250 [8 per cell]
Pd 0.0000 0.0000 0.5000 [4 per cell]

10.
The following is a DFT calculation (PBE) of crystalline NdEr3Sc5 at its relaxed geometry.

Energy of formation, eV/atom: 0.2902

Cell lengths 8.2751, 8.2751, 14.3977 Å; angles 90.00, 90.00, 90.00 degrees
Space group I4/mcm (No. 140)
Unique sites:
Nd 0.0000 0.5000 0.2500 [4 per cell]
Er 0.0000 0.0000 0.2500 [4 per cell]
Er 0.1209 0.3791 0.0000 [8 per cell]
Sc 0.0000 0.0000 0.0000 [4 per cell]
Sc 0.2025 0.2975 0.3653 [16 per cell]

11.
The following is a DFT calculation (PBE) of crystalline Tl2SbCl at its relaxed geometry.

Energy relative to the lowest polymorph listed for this composition, meV per atom: 109
E_form (uncorrected), eV/atom: -0.2436

Cell lengths 3.4836, 5.5164, 12.7616 Å; angles 90.00, 90.00, 90.00 degrees
Space group Imm2 (No. 44)
Unique sites:
Tl 0.0000 0.0000 0.0000 [2 per cell]
Tl 0.0000 0.5000 0.2260 [2 per cell]
Sb 0.0000 0.0000 0.4851 [2 per cell]
Cl 0.0000 0.5000 0.7012 [2 per cell]

12.
The following is a DFT calculation (PBE) of crystalline Cd2TcAg at its relaxed geometry.

Energy of formation, eV/atom: 0.3117
Energy relative to the lowest polymorph listed for this composition, meV per atom: 54

Cell lengths 10.9584, 2.7977, 5.2309 Å; angles 90.00, 115.48, 90.00 degrees
Space group Cm (No. 8)
Unique sites:
Cd 0.0000 0.0000 0.0000 [2 per cell]
Cd 0.2403 0.0000 0.5665 [2 per cell]
Tc 0.4939 0.0000 0.5030 [2 per cell]
Ag 0.2538 0.5000 0.0774 [2 per cell]

13.
The following is a DFT calculation (PBE) of crystalline Ac7In2Ru2 at its relaxed geometry.

Energy of formation, eV/atom: -0.1993
Energy relative to the lowest polymorph listed for this composition, meV per atom: 0

Cell lengths 8.6476, 12.2240, 7.5961 Å; angles 90.00, 90.00, 90.00 degrees
Space group Cmmm (No. 65)
Unique sites:
Ac 0.0000 0.0000 0.0000 [2 per cell]
Ac 0.0000 0.5000 0.2463 [4 per cell]
Ac 0.2500 0.2500 0.2508 [8 per cell]
In 0.1653 0.0000 0.5000 [4 per cell]
Ru 0.0000 0.2990 0.0000 [4 per cell]

14.
The following is a DFT calculation (PBE) of crystalline Ca2LaZn2Si2 at its relaxed geometry.

E_form (uncorrected), eV/atom: -0.4662

Cell lengths 4.1998, 4.1998, 35.4482 Å; angles 90.00, 90.00, 120.00 degrees
Space group R-3m (No. 166, hexagonal axes)
Unique sites:
Ca 0.0000 0.0000 0.1192 [6 per cell]
La 0.0000 0.0000 0.0000 [3 per cell]
Zn 0.0000 0.0000 0.3949 [6 per cell]
Si 0.0000 0.0000 0.2729 [6 per cell]

15.
The following is a DFT calculation (PBE) of crystalline LaTmTlAu at its relaxed geometry.

Energy of formation, eV/atom: -0.5413

Cell lengths 7.5752, 7.5752, 7.5752 Å; angles 90.00, 90.00, 90.00 degrees
Space group F-43m (No. 216)
Unique sites:
La 0.0000 0.0000 0.0000 [4 per cell]
Tm 0.0000 0.0000 0.5000 [4 per cell]
Tl 0.2500 0.2500 0.7500 [4 per cell]
Au 0.2500 0.2500 0.2500 [4 per cell]

16.
The following is a DFT calculation (PBE) of crystalline PmCdNiPd at its relaxed geometry.

Energy of formation, eV/atom: -0.4017

Cell lengths 6.7801, 6.7801, 6.7801 Å; angles 90.00, 90.00, 90.00 degrees
Space group F-43m (No. 216)
Unique sites:
Pm 0.0000 0.0000 0.0000 [4 per cell]
Cd 0.0000 0.0000 0.5000 [4 per cell]
Ni 0.2500 0.2500 0.2500 [4 per cell]
Pd 0.2500 0.2500 0.7500 [4 per cell]

17.
The following is a DFT calculation (PBE) of crystalline ZrBeRh at its relaxed geometry.

Energy of formation, eV/atom: -0.1593
Energy relative to the lowest polymorph listed for this composition, meV per atom: 493

Cell lengths 6.0027, 6.0027, 6.0027 Å; angles 90.00, 90.00, 90.00 degrees
Space group F-43m (No. 216)
Unique sites:
Zr 0.0000 0.0000 0.0000 [4 per cell]
Be 0.0000 0.0000 0.5000 [4 per cell]
Rh 0.2500 0.2500 0.7500 [4 per cell]

18.
The following is a DFT calculation (PBE) of crystalline SmMg2Zn2Cu at its relaxed geometry.

Energy of formation, eV/atom: 0.1797

Cell lengths 5.0819, 5.0819, 10.7306 Å; angles 90.00, 90.00, 90.00 degrees
Space group I4/mmm (No. 139)
Unique sites:
Sm 0.0000 0.0000 0.0000 [2 per cell]
Mg 0.0000 0.5000 0.2500 [4 per cell]
Zn 0.0000 0.0000 0.2836 [4 per cell]
Cu 0.0000 0.0000 0.5000 [2 per cell]

19.
The following is a DFT calculation (PBE) of crystalline MgGaO2F at its relaxed geometry.

E_form (uncorrected), eV/atom: -1.4075

Cell lengths 3.9714, 3.9714, 3.6727 Å; angles 90.00, 90.00, 90.00 degrees
Space group P4/mmm (No. 123)
Unique sites:
Mg 0.0000 0.0000 0.0000 [1 per cell]
Ga 0.5000 0.5000 0.5000 [1 per cell]
O 0.0000 0.5000 0.0000 [2 per cell]
F 0.0000 0.0000 0.5000 [1 per cell]

20.
The following is a DFT calculation (PBE) of crystalline Ta2InW at its relaxed geometry.

Energy of formation, eV/atom: 0.1854

Cell lengths 3.3433, 4.7433, 9.3202 Å; angles 90.00, 90.00, 90.00 degrees
Space group Cmm2 (No. 35)
Unique sites:
Ta 0.0000 0.0000 0.0000 [2 per cell]
Ta 0.0000 0.5000 0.2474 [2 per cell]
In 0.0000 0.5000 0.7345 [2 per cell]
W 0.0000 0.0000 0.4786 [2 per cell]

| no. | raw total energy (Ha/atom) |
| --- | --- |
| 1 | -0.2002 |
| 2 | -0.1792 |
| 3 | -0.2151 |
| 4 | -0.1565 |
| 5 | -0.1387 |
| 6 | -0.1085 |
| 7 | -0.1947 |
| 8 | -0.2443 |
| 9 | -0.2780 |
| 10 | -0.1940 |
| 11 | -0.1073 |
| 12 | -0.1268 |
| 13 | -0.1837 |
| 14 | -0.1343 |
| 15 | -0.1581 |
| 16 | -0.1676 |
| 17 | -0.2463 |
| 18 | -0.0825 |
| 19 | -0.1723 |
| 20 | -0.3551 |